First-principles (GGA-PBE) data for an optimized crystal structure of PaCu17Ag, as listed in the Alexandria database.

Properties
V = 256 Å³/cell
Uncorrected energy = -4.26 eV/atom
D(E_F) = 5.91 states/eV per cell
ΔE_f = 0.05 eV/atom

```
19
Lattice="6.353 0.042 0.796 0.708 6.313 0.796 0.046 0.042 6.402" Properties=species:S:1:pos:R:3 pbc="T T T"
Cu 7.036 6.333 4.806
Cu 1.934 0.053 4.701
Cu 0.518 4.412 2.472
Cu 4.638 1.918 0.804
Cu 4.577 4.120 2.078
Cu 6.712 3.263 7.551
Cu 2.479 2.232 6.023
Cu 0.255 1.918 4.701
Cu 6.438 5.795 7.242
Cu 5.691 2.232 3.168
Cu 1.527 4.120 4.789
Cu 4.442 0.053 2.472
Cu 4.257 1.087 4.789
Cu 2.394 4.412 0.804
Cu 0.729 0.656 0.820
Cu 2.816 5.426 3.168
Cu 3.949 6.333 7.551
Pa 4.704 4.234 5.292
Ag 2.418 2.176 2.720
```


First-principles (GGA-PBE) data for an optimized crystal structure of Al2FeRe, as listed in the Alexandria database.

Properties
Excess energy over the best structure of this formula in the dataset = 0.21 eV per formula unit
V = 55 Å³/cell
Uncorrected energy = -7.22 eV/atom
D(E_F) = 2.40 states/eV per cell
ΔE_f = -0.13 eV/atom

```
4
Lattice="2.678 -0.004 0.000 -0.834 2.545 0.000 0.000 0.000 8.057" Properties=species:S:1:pos:R:3 pbc="T T T"
Re 0.922 1.271 6.043
Fe 0.922 1.271 2.014
Al 0.000 0.000 3.901
Al 0.000 0.000 0.128
```


First-principles (GGA-PBE) data for an optimized crystal structure of Np2Ga6Tc, as listed in the Alexandria database.

Properties
Excess energy over the best structure of this formula in the dataset = 0.21 eV per formula unit
V = 169 Å³/cell
Uncorrected energy = -6.18 eV/atom
D(E_F) = 15.21 states/eV per cell
ΔE_f = -0.13 eV/atom

```
9
Lattice="5.607 0.000 0.000 -2.803 4.979 0.977 0.000 -0.024 6.055" Properties=species:S:1:pos:R:3 pbc="T T T"
Ga 4.143 1.208 4.250
Ga 1.339 3.747 2.781
Ga 0.000 1.443 2.089
Ga 1.464 1.208 4.250
Ga 2.803 3.512 4.942
Ga -1.339 3.747 2.781
Np 2.803 1.413 1.055
Np 0.000 3.542 5.976
Tc 0.000 0.000 0.000
```